{"formula": "CsAg3PdSe4", "functional": "GGA-PBE", "state": "relaxed", "lattice_angstrom": [[6.531, 0.000, 0.000], [0.000, 6.531, 0.000], [0.000, 0.000, 6.531]], "species": ["Ag", "Ag", "Ag", "Cs", "Pd", "Se", "Se", "Se", "Se"], "fractional_positions": [[0.500, 0.500, 0.000], [0.500, 0.000, 0.500], [0.000, 0.500, 0.500], [0.000, 0.000, 0.000], [0.500, 0.500, 0.500], [0.284, 0.284, 0.284], [0.716, 0.716, 0.284], [0.716, 0.284, 0.716], [0.284, 0.716, 0.716]], "e_tot_ev_per_atom": -3.3069}